1.
BSbSe2 | GGA-PBE | relaxed

Cell lengths 4.098, 7.099, 8.271 Å; angles 64.88, 81.39, 76.02 degrees
Positions (direct):
Se: 0.904 0.773 0.284
Se: 0.134 0.080 0.415
Sb: 0.305 0.550 0.059
B: 0.555 0.981 0.084
Se: 0.591 0.874 0.885
Se: 0.817 0.236 0.977
B: 0.158 0.031 0.174
Sb: 0.535 0.342 0.423

Results
SG: No. 1
Formation energy (no corrections) in eV/atom: -0.06



2.
Dy2Zn3Si | GGA-PBE | relaxed

Cell lengths 3.839, 4.217, 7.468 Å; angles 90.00, 90.00, 90.00 degrees
Positions (direct):
Si: 0.500 0.500 0.336
Dy: 0.000 0.500 0.016
Zn: 0.500 0.500 0.665
Zn: 0.500 0.000 0.166
Dy: 0.000 0.000 0.485
Zn: 0.500 0.000 0.832

Results
SG: No. 25
Formation energy (no corrections) in eV/atom: -0.48



3.
Np2TcSn | GGA-PBE | relaxed

Cell lengths 3.066, 3.066, 10.291 Å; angles 81.43, 81.43, 60.00 degrees
Each line ends with the local moment (μB).
Positions (direct):
Np: 0.260 0.260 0.220  2.92
Sn: 0.500 0.500 0.500  -0.06
Tc: 0.000 0.000 0.000  -0.47
Np: 0.740 0.740 0.780  2.92

Results
SG: No. 166
E_form in eV per atom: 0.25



4.
CaNd3Cu2 | GGA-PBE | relaxed

Cell lengths 4.996, 7.369, 8.938 Å; angles 90.00, 90.00, 90.00 degrees
Positions (direct):
Cu: 0.500 0.254 0.149
Nd: 0.500 0.647 0.162
Nd: 0.000 0.483 0.919
Nd: 0.000 0.983 0.081
Ca: 0.500 0.017 0.424
Ca: 0.500 0.517 0.576
Cu: 0.000 0.745 0.350
Cu: 0.000 0.245 0.650
Nd: 0.500 0.147 0.838
Cu: 0.500 0.754 0.851
Nd: 0.000 0.354 0.328
Nd: 0.000 0.854 0.672

Results
SG: No. 26
E_form in eV per atom: -0.08